Crystalline ZnMoClF2 at its relaxed geometry. Source: Alexandria, functional PBE+U.

The total energy comes out at -4.066 eV/atom. The theoretical density comes out at 3.89 Mg/m³.

The space group is P4/mmm (No. 123) and the conventional cell measures 4.1431, 4.1431 and 5.8354 Å, with angles of 90.00, 90.00 and 90.00 degrees. Symmetry generates all atoms from Zn at (0.0000, 0.0000, 0.0000), Mo at (0.0000, 0.0000, 0.5000), Cl at (0.5000, 0.5000, 0.0000) and F at (0.0000, 0.5000, 0.5000).